No. 1
Material: NaGaB
Method: DFT, GGA-PBE
State: relaxed

Results
Crystal system: orthorhombic
SG: Cmcm
E_form, eV per atom: 0.148
Raw total energy, eV/atom: -3.53

Cell lengths 3.123, 4.420, 7.273 Å; angles 72.31, 90.00, 90.00 degrees
Sites, in units of the cell vectors:
Na (0.250, 0.093, 0.813)
Na (0.750, 0.907, 0.187)
B (0.250, 0.482, 0.036)
B (0.750, 0.518, 0.964)
Ga (0.750, 0.695, 0.610)
Ga (0.250, 0.305, 0.390)

No. 2
Material: NaGaB2
Method: DFT, GGA-PBE
State: relaxed

Results
Crystal system: tetragonal
SG: I4_1/amd
E_form, eV per atom: 0.788
Raw total energy, eV/atom: -3.64

Cell lengths 4.036, 4.036, 7.739 Å; angles 74.88, 74.88, 90.00 degrees
Sites, in units of the cell vectors:
Na (0.500, 0.500, 0.000)
Na (0.250, 0.750, 0.500)
B (0.875, 0.125, 0.250)
B (0.875, 0.625, 0.250)
B (0.375, 0.125, 0.750)
B (0.875, 0.125, 0.750)
Ga (0.000, 0.000, 0.000)
Ga (0.750, 0.250, 0.500)

No. 3
Material: NaGa3B
Method: DFT, GGA-PBE
State: relaxed

Results
Crystal system: cubic
SG: Pm-3m
E_form, eV per atom: 1.574
Raw total energy, eV/atom: -1.84

Cell lengths 5.113, 5.113, 5.113 Å; angles 90.00, 90.00, 90.00 degrees
Sites, in units of the cell vectors:
Na (0.000, 0.000, 0.000)
B (0.500, 0.500, 0.500)
Ga (0.000, 0.500, 0.000)
Ga (0.000, 0.000, 0.500)
Ga (0.500, 0.000, 0.000)

No. 4
Material: Na2GaB
Method: DFT, GGA-PBE
State: relaxed

Results
Crystal system: tetragonal
SG: I-42d
E_form, eV per atom: 0.910
Raw total energy, eV/atom: -2.18

Cell lengths 3.830, 3.830, 10.411 Å; angles 79.40, 79.40, 90.00 degrees
Sites, in units of the cell vectors:
Na (0.605, 0.125, 0.250)
Na (0.145, 0.625, 0.250)
Na (0.375, 0.395, 0.750)
Na (0.875, 0.855, 0.750)
B (0.500, 0.500, 0.000)
B (0.250, 0.750, 0.500)
Ga (0.000, 0.000, 0.000)
Ga (0.750, 0.250, 0.500)

No. 5
Material: NaNbGaB2
Method: DFT, GGA-PBE
State: relaxed

Results
Crystal system: tetragonal
SG: P4/mmm
E_form, eV per atom: 2.407
Raw total energy, eV/atom: -3.15

Cell lengths 4.180, 4.913, 4.180 Å; angles 90.00, 90.00, 90.00 degrees
Sites, in units of the cell vectors:
Na (0.000, 0.000, 0.000)
Nb (0.000, 0.500, 0.000)
B (0.000, 0.000, 0.500)
B (0.500, 0.000, 0.000)
Ga (0.500, 0.500, 0.500)

No. 6
Material: NaGa2B2O7
Method: DFT, GGA-PBE
State: relaxed

Results
Formation energy (no corrections), eV per atom: -1.937
Crystal system: trigonal
SG: R32
Raw total energy, eV/atom: -6.56

Cell lengths 4.925, 4.925, 8.700 Å; angles 73.56, 73.56, 60.00 degrees
Each line ends with the local moment (μB).
Sites, in units of the cell vectors:
Na (0.000, 0.000, 0.000)  0.00
Ga (0.573, 0.573, 0.281)  0.01
Ga (0.427, 0.427, 0.719)  0.01
B (0.734, 0.734, 0.798)  -0.01
B (0.266, 0.266, 0.202)  -0.01
O (0.286, 0.979, 0.198)  0.10
O (0.979, 0.537, 0.198)  0.10
O (0.537, 0.286, 0.198)  0.10
O (0.500, 0.500, 0.500)  0.26
O (0.714, 0.463, 0.802)  0.10
O (0.463, 0.021, 0.802)  0.10
O (0.021, 0.714, 0.802)  0.10